Computed, not measured: HfCuSn3 after structural relaxation at the GGA-PBE level of DFT.

Calculated values
For the calculated formation energy, the calculation gives 0.733 eV/atom. The total energy comes out at -4.479 eV/atom. The value obtained for the energy relative to the lowest polymorph listed for this composition is 211 meV/atom.

Cell: 5.5252 5.5252 5.5252 Å, 90.00 90.00 90.00°
Closest atoms and distances in Å follow each position.
Fractional positions:
1 Hf 0.0000 0.0000 0.0000  6 Sn 2.76
2 Cu 0.5000 0.5000 0.5000  12 Sn 3.91
3 Sn 0.0000 0.0000 0.5000  2 Hf 2.76
4 Sn 0.0000 0.5000 0.0000  2 Hf 2.76
5 Sn 0.5000 0.0000 0.0000  2 Hf 2.76

***

Computed, not measured: HfCuSn after structural relaxation at the GGA-PBE level of DFT.

Calculated values
For the calculated formation energy, the calculation gives -0.208 eV/atom. The total energy comes out at -6.225 eV/atom.

Cell: 3.9960 3.9960 7.1335 Å, 90.00 90.00 90.00°
Closest atoms and distances in Å follow each position.
Fractional positions:
1 Hf 0.2500 0.2500 0.1471  5 Sn 2.90-2.94, 4 Cu 3.21
2 Hf 0.7500 0.7500 0.8529  5 Sn 2.90-2.94, 4 Cu 3.21
3 Cu 0.2500 0.7500 0.5000  4 Sn 2.63, 4 Cu 2.83
4 Cu 0.7500 0.2500 0.5000  4 Sn 2.63, 4 Cu 2.83
5 Sn 0.2500 0.2500 0.7407  4 Cu 2.63, 5 Hf 2.90-2.94
6 Sn 0.7500 0.7500 0.2593  4 Cu 2.63, 5 Hf 2.90-2.94

***

Computed, not measured: Hf2CuSn after structural relaxation at the GGA-PBE level of DFT.

Calculated values
For the calculated formation energy, the calculation gives -0.135 eV/atom. The total energy comes out at -7.137 eV/atom.

Cell: 3.1001 3.1001 8.0834 Å, 90.00 90.00 90.00°
Closest atoms and distances in Å follow each position.
Fractional positions:
1 Hf 0.0000 0.0000 0.2167  4 Cu 2.81, 4 Hf 3.10
2 Hf 0.0000 0.0000 0.7833  4 Cu 2.81, 4 Hf 3.10
3 Cu 0.5000 0.5000 0.0000  8 Hf 2.81, 4 Cu 3.10
4 Sn 0.5000 0.5000 0.5000  4 Sn 3.10, 8 Hf 3.17

***

Computed, not measured: Hf8Cu2Sn after structural relaxation at the GGA-PBE level of DFT.

Calculated values
For the calculated formation energy, the calculation gives 0.000 eV/atom. The total energy comes out at -8.348 eV/atom.

Cell: 7.3918 7.3918 4.8483 Å, 98.91 98.91 114.60°
Closest atoms and distances in Å follow each position.
Fractional positions:
1 Hf 0.0795 0.3220 0.5914  2 Cu 2.69-2.81
2 Hf 0.2428 0.7572 0.0000  2 Cu 2.57
3 Hf 0.3220 0.0795 0.5914  2 Cu 2.69-2.81
4 Hf 0.3972 0.3972 0.1895  2 Cu 2.79, 2 Hf 2.79-2.99, 1 Sn 3.04
5 Hf 0.6028 0.6028 0.8105  2 Cu 2.79, 2 Hf 2.79-2.99, 1 Sn 3.04
6 Hf 0.6780 0.9205 0.4086  2 Cu 2.69-2.81
7 Hf 0.7572 0.2428 0.0000  2 Cu 2.57
8 Hf 0.9205 0.6780 0.4086  2 Cu 2.69-2.81
9 Cu 0.3105 0.6895 0.5000  8 Hf 2.57-2.81
10 Cu 0.6895 0.3105 0.5000  8 Hf 2.57-2.81
11 Sn 0.0000 0.0000 0.0000  12 Hf 3.02-3.25

***

Computed, not measured: HfCu2Sn2 after structural relaxation at the GGA-PBE level of DFT.

Calculated values
For the calculated formation energy, the calculation gives 0.085 eV/atom. The total energy comes out at -5.146 eV/atom. The value obtained for the energy relative to the lowest polymorph listed for this composition is 127 meV/atom.

Cell: 7.7834 7.7834 3.1453 Å, 90.00 90.00 90.00°
Closest atoms and distances in Å follow each position.
Fractional positions:
1 Hf 0.0000 0.0000 0.0000  4 Sn 2.97, 2 Hf 3.15
2 Hf 0.5000 0.5000 0.0000  4 Sn 2.97, 2 Hf 3.15
3 Cu 0.1468 0.3532 0.5000  6 Sn 2.74-2.79
4 Cu 0.3532 0.8532 0.5000  6 Sn 2.74-2.79
5 Cu 0.6468 0.1468 0.5000  6 Sn 2.74-2.79
6 Cu 0.8532 0.6468 0.5000  6 Sn 2.74-2.79
7 Sn 0.1496 0.6496 0.0000  6 Cu 2.74-2.79, 2 Hf 2.97
8 Sn 0.3504 0.1496 0.0000  6 Cu 2.74-2.79, 2 Hf 2.97
9 Sn 0.6496 0.8504 0.0000  6 Cu 2.74-2.79, 2 Hf 2.97
10 Sn 0.8504 0.3504 0.0000  6 Cu 2.74-2.79, 2 Hf 2.97

***

Computed, not measured: Hf5CuSn3 after structural relaxation at the GGA-PBE level of DFT.

Calculated values
For the calculated formation energy, the calculation gives -0.381 eV/atom. The total energy comes out at -7.700 eV/atom.

Cell: 8.5973 8.5973 5.8169 Å, 90.00 90.00 120.00°
Closest atoms and distances in Å follow each position.
Fractional positions:
1 Hf 0.0000 0.2641 0.2500  2 Cu 2.70, 3 Sn 2.94-3.01
2 Hf 0.0000 0.7359 0.7500  2 Cu 2.70, 3 Sn 2.94-3.01
3 Hf 0.2641 0.0000 0.2500  2 Cu 2.70, 3 Sn 2.94-3.01
4 Hf 0.2641 0.2641 0.7500  2 Cu 2.70, 3 Sn 2.94-3.01
5 Hf 0.3333 0.6667 0.0000  2 Hf 2.91, 6 Sn 3.04
6 Hf 0.3333 0.6667 0.5000  2 Hf 2.91, 6 Sn 3.04
7 Hf 0.6667 0.3333 0.0000  2 Hf 2.91, 6 Sn 3.04
8 Hf 0.6667 0.3333 0.5000  2 Hf 2.91, 6 Sn 3.04
9 Hf 0.7359 0.0000 0.7500  2 Cu 2.70, 3 Sn 2.94-3.01
10 Hf 0.7359 0.7359 0.2500  2 Cu 2.70, 3 Sn 2.94-3.01
11 Cu 0.0000 0.0000 0.0000  6 Hf 2.70, 2 Cu 2.91
12 Cu 0.0000 0.0000 0.5000  6 Hf 2.70, 2 Cu 2.91
13 Sn 0.0000 0.3863 0.7500  9 Hf 2.94-3.09
14 Sn 0.0000 0.6137 0.2500  9 Hf 2.94-3.09
15 Sn 0.3863 0.0000 0.7500  9 Hf 2.94-3.09
16 Sn 0.3863 0.3863 0.2500  9 Hf 2.94-3.09
17 Sn 0.6137 0.0000 0.2500  9 Hf 2.94-3.09
18 Sn 0.6137 0.6137 0.7500  9 Hf 2.94-3.09

***

Computed, not measured: Hf2CuSn2 after structural relaxation at the GGA-PBE level of DFT.

Calculated values
For the calculated formation energy, the calculation gives -0.063 eV/atom. The total energy comes out at -6.465 eV/atom. The value obtained for the energy relative to the lowest polymorph listed for this composition is 0 meV/atom.

Cell: 6.9229 6.9229 4.3501 Å, 90.00 90.00 90.00°
Closest atoms and distances in Å follow each position.
Fractional positions:
1 Hf 0.1689 0.3311 0.0000  6 Sn 2.85-3.07
2 Hf 0.3311 0.8311 0.0000  6 Sn 2.85-3.07
3 Hf 0.6689 0.1689 0.0000  6 Sn 2.85-3.07
4 Hf 0.8311 0.6689 0.0000  6 Sn 2.85-3.07
5 Cu 0.0000 0.0000 0.5000  4 Sn 2.66
6 Cu 0.5000 0.5000 0.5000  4 Sn 2.66
7 Sn 0.1433 0.6433 0.5000  2 Cu 2.66, 1 Sn 2.81, 2 Hf 2.85
8 Sn 0.3567 0.1433 0.5000  2 Cu 2.66, 1 Sn 2.81, 2 Hf 2.85
9 Sn 0.6433 0.8567 0.5000  2 Cu 2.66, 1 Sn 2.81, 2 Hf 2.85
10 Sn 0.8567 0.3567 0.5000  2 Cu 2.66, 1 Sn 2.81, 2 Hf 2.85

***

Computed, not measured: HfCu2Sn2 after structural relaxation at the GGA-PBE level of DFT.

Calculated values
For the calculated formation energy, the calculation gives -0.042 eV/atom. The total energy comes out at -5.272 eV/atom. The value obtained for the energy relative to the lowest polymorph listed for this composition is 0 meV/atom.

Cell: 7.5339 7.5339 3.2632 Å, 90.00 90.00 90.00°
Closest atoms and distances in Å follow each position.
Fractional positions:
1 Hf 0.0000 0.0000 0.0000  4 Cu 3.02, 8 Sn 3.21, 2 Hf 3.26
2 Hf 0.5000 0.5000 0.0000  4 Cu 3.02, 8 Sn 3.21, 2 Hf 3.26
3 Cu 0.1170 0.3830 0.0000  1 Cu 2.49, 2 Sn 2.70
4 Cu 0.3830 0.8830 0.0000  1 Cu 2.49, 2 Sn 2.70
5 Cu 0.6170 0.1170 0.0000  1 Cu 2.49, 2 Sn 2.70
6 Cu 0.8830 0.6170 0.0000  1 Cu 2.49, 2 Sn 2.70
7 Sn 0.1805 0.6805 0.5000  6 Cu 2.70-2.81
8 Sn 0.3195 0.1805 0.5000  6 Cu 2.70-2.81
9 Sn 0.6805 0.8195 0.5000  6 Cu 2.70-2.81
10 Sn 0.8195 0.3195 0.5000  6 Cu 2.70-2.81

***

Computed, not measured: HfCu4Sn after structural relaxation at the GGA-PBE level of DFT.

Calculated values
For the calculated formation energy, the calculation gives -0.044 eV/atom. The total energy comes out at -5.101 eV/atom.

Cell: 5.0369 5.0369 5.0369 Å, 60.00 60.00 60.00°
Closest atoms and distances in Å follow each position.
Fractional positions:
1 Hf 0.0000 0.0000 0.0000  12 Cu 2.95, 4 Sn 3.08
2 Cu 0.3740 0.3740 0.3740  6 Cu 2.50-2.54
3 Cu 0.3740 0.3740 0.8779  6 Cu 2.50-2.54
4 Cu 0.3740 0.8779 0.3740  6 Cu 2.50-2.54
5 Cu 0.8779 0.3740 0.3740  6 Cu 2.50-2.54
6 Sn 0.7500 0.7500 0.7500  12 Cu 2.96, 4 Hf 3.08

***

Computed, not measured: HfCuSn2Te after structural relaxation at the GGA-PBE level of DFT.

Calculated values
For the formation energy (no corrections), the calculation gives 573 meV per atom. The total energy comes out at -4.467 eV/atom.

Cell: 5.6115 5.6115 5.3776 Å, 90.00 90.00 90.00°
Closest atoms and distances in Å follow each position.
Fractional positions:
1 Hf 0.0000 0.0000 0.0000  2 Te 2.69, 4 Sn 2.81
2 Cu 0.5000 0.5000 0.5000  8 Sn 3.89, 4 Te 3.97
3 Sn 0.0000 0.5000 0.0000  2 Hf 2.81
4 Sn 0.5000 0.0000 0.0000  2 Hf 2.81
5 Te 0.0000 0.0000 0.5000  2 Hf 2.69

***

It is found that the total magnetic moment values, taken in the order of the records, are 0.000 0.000 0.002 0.000 0.000 0.000 0.000 0.000 0.000 0.000 μB/f.u..